--- i ---
! TiTe3As GGA-PBE relaxed; values from VASP
&SYSTEM
  ibrav = 0, nat = 5, ntyp = 3
/
ATOMIC_SPECIES
As 74.92 As.upf
Te 127.60 Te.upf
Ti 47.87 Ti.upf
ATOMIC_POSITIONS angstrom
As 2.650 2.650 2.650
Te 2.650 0.000 0.000
Ti 0.000 0.000 0.000
Te 0.000 2.650 0.000
Te 0.000 0.000 2.650
CELL_PARAMETERS angstrom
5.299 0.000 0.000
0.000 5.299 0.000
0.000 0.000 5.299
! Crystal system = cubic

=====

--- ii ---
! TiTe3As GGA-PBE relaxed; values from VASP
&SYSTEM
  ibrav = 0, nat = 5, ntyp = 3
/
ATOMIC_SPECIES
Te 127.60 Te.upf
As 74.92 As.upf
Ti 47.87 Ti.upf
ATOMIC_POSITIONS angstrom
Te 0.000 2.671 0.000
As 0.000 0.000 0.000
Ti 2.671 2.671 2.671
Te 0.000 0.000 2.671
Te 2.671 0.000 0.000
CELL_PARAMETERS angstrom
5.342 0.000 0.000
0.000 5.342 0.000
0.000 0.000 5.342
! Crystal system = cubic

=====

The least stable of them is ii.

=====

--- i ---
! Tl3Te4As2 GGA-PBE relaxed; values from VASP
&SYSTEM
  ibrav = 0, nat = 18, ntyp = 3
/
ATOMIC_SPECIES
As 74.92 As.upf
Te 127.60 Te.upf
Tl 204.38 Tl.upf
ATOMIC_POSITIONS angstrom
As -3.681 1.397 6.689
Te 2.340 -1.225 4.409
Tl 4.445 0.851 9.132
Te 2.682 3.064 11.072
Tl 0.298 -2.612 6.843
As 1.312 0.949 5.475
Tl 5.356 -0.132 5.201
Tl -4.317 -2.706 6.086
Tl -5.228 -1.723 10.017
Tl -0.170 0.757 8.375
Te 2.148 -1.487 9.551
Te -2.020 -0.368 5.667
As 3.809 -3.252 8.529
Te -3.225 -4.419 9.093
Te -2.554 -4.920 4.145
As -1.185 -2.804 9.742
Te 3.353 2.564 6.125
Te -2.212 -0.630 10.809
CELL_PARAMETERS angstrom
-3.488 5.090 2.884
-3.606 -6.967 5.786
7.222 0.022 6.548
! Crystal system = monoclinic

=====

--- ii ---
! Tl3Te4As2 GGA-PBE relaxed; values from VASP
&SYSTEM
  ibrav = 0, nat = 18, ntyp = 3
/
ATOMIC_SPECIES
Te 127.60 Te.upf
As 74.92 As.upf
Tl 204.38 Tl.upf
ATOMIC_POSITIONS angstrom
Te 4.075 -6.982 -2.170
Te 3.356 -3.215 -10.827
As 2.121 -5.295 -2.278
Te 1.400 -6.073 4.125
Tl 3.094 0.129 -4.175
Te 0.682 -2.306 -4.533
Te 1.975 -4.010 0.340
Te 2.781 -5.278 -7.043
Te 4.889 -2.782 -3.546
Tl 5.365 -4.144 -0.460
Te -0.133 -6.506 -3.157
Tl -0.609 -5.145 -6.243
As 6.466 -0.926 -1.935
Tl -0.954 -3.463 -1.311
As 2.636 -3.993 -4.425
Tl 5.710 -5.825 -5.391
Tl 1.622 -2.156 -8.044
As -1.710 -8.362 -4.767
CELL_PARAMETERS angstrom
-2.990 -4.584 -7.712
7.705 2.557 -4.507
0.040 -7.261 5.516
! Crystal system = monoclinic

=====

The least stable of them is i.

=====

--- i ---
! U2TeAs GGA-PBE relaxed; values from VASP
&SYSTEM
  ibrav = 0, nat = 4, ntyp = 3
/
ATOMIC_SPECIES
As 74.92 As.upf
U 238.03 U.upf
Te 127.60 Te.upf
ATOMIC_POSITIONS angstrom
As 0.000 0.000 0.000
U -1.703 -2.642 0.109
Te -3.407 -5.284 0.218
U -5.110 -7.925 0.326
CELL_PARAMETERS angstrom
-0.763 -4.590 -2.174
-1.307 -4.031 2.903
-4.744 -1.946 -0.294
! Crystal system = cubic

=====

--- ii ---
! U2TeAs GGA-PBE relaxed; values from VASP
&SYSTEM
  ibrav = 0, nat = 4, ntyp = 3
/
ATOMIC_SPECIES
U 238.03 U.upf
As 74.92 As.upf
Te 127.60 Te.upf
ATOMIC_POSITIONS angstrom
U 1.978 1.142 1.737
As 5.933 3.426 7.797
Te 3.956 2.284 3.927
U 1.978 1.142 6.068
CELL_PARAMETERS angstrom
3.956 0.000 0.000
1.978 3.426 0.000
1.978 1.142 7.811
! Crystal system = trigonal

=====

--- iii ---
! U2TeAs GGA-PBE relaxed; values from VASP
&SYSTEM
  ibrav = 0, nat = 4, ntyp = 3
/
ATOMIC_SPECIES
As 74.92 As.upf
U 238.03 U.upf
Te 127.60 Te.upf
ATOMIC_POSITIONS angstrom
As 1.816 1.816 0.000
U 0.000 0.000 5.629
U 0.000 0.000 1.645
Te 1.816 1.816 3.637
CELL_PARAMETERS angstrom
3.633 0.000 0.000
0.000 3.633 0.000
0.000 0.000 7.274
! Crystal system = tetragonal

=====

The least stable of them is i.

=====

--- i ---
! VTe3As GGA-PBE relaxed; values from VASP
&SYSTEM
  ibrav = 0, nat = 5, ntyp = 3
/
ATOMIC_SPECIES
Te 127.60 Te.upf
V 50.94 V.upf
As 74.92 As.upf
ATOMIC_POSITIONS angstrom
Te 2.581 0.000 0.000
Te 0.000 0.000 2.581
Te 0.000 2.581 0.000
V 0.000 0.000 0.000
As 2.581 2.581 2.581
CELL_PARAMETERS angstrom
5.163 0.000 0.000
0.000 5.163 0.000
0.000 0.000 5.163
! Crystal system = cubic

=====

--- ii ---
! VTe3As GGA-PBE relaxed; values from VASP
&SYSTEM
  ibrav = 0, nat = 5, ntyp = 3
/
ATOMIC_SPECIES
As 74.92 As.upf
Te 127.60 Te.upf
V 50.94 V.upf
ATOMIC_POSITIONS angstrom
As 0.000 0.000 0.000
Te -0.099 -0.217 -2.687
V -0.772 -3.958 -2.360
Te -2.213 -1.529 0.205
Te 1.540 -2.212 0.122
CELL_PARAMETERS angstrom
-4.426 -3.058 0.410
-0.197 -0.434 -5.374
3.079 -4.423 0.244
! Crystal system = cubic

=====

The least stable of them is ii.

=====

--- i ---
! TeAsW GGA-PBE relaxed; values from VASP
&SYSTEM
  ibrav = 0, nat = 3, ntyp = 3
/
ATOMIC_SPECIES
As 74.92 As.upf
Te 127.60 Te.upf
W 183.84 W.upf
ATOMIC_POSITIONS angstrom
As 6.782 3.915 2.769
Te 0.000 0.000 0.000
W 4.521 2.610 1.846
CELL_PARAMETERS angstrom
4.521 0.000 0.000
2.261 3.915 0.000
2.261 1.305 3.691
! Crystal system = cubic

=====

--- ii ---
! TeAsW GGA-PBE relaxed; values from VASP
&SYSTEM
  ibrav = 0, nat = 3, ntyp = 3
/
ATOMIC_SPECIES
As 74.92 As.upf
Te 127.60 Te.upf
W 183.84 W.upf
ATOMIC_POSITIONS angstrom
As 0.000 0.000 2.632
Te 2.347 1.355 1.383
W 0.000 2.710 2.223
CELL_PARAMETERS angstrom
4.693 0.000 0.000
-2.347 4.065 0.000
0.000 0.000 3.119
! Crystal system = trigonal

=====

--- iii ---
! TeAsW GGA-PBE relaxed; values from VASP
&SYSTEM
  ibrav = 0, nat = 3, ntyp = 3
/
ATOMIC_SPECIES
As 74.92 As.upf
W 183.84 W.upf
Te 127.60 Te.upf
ATOMIC_POSITIONS angstrom
As -5.818 0.165 1.049
W -4.193 -1.803 1.314
Te -2.657 -1.370 -0.934
CELL_PARAMETERS angstrom
-0.617 -0.952 -3.274
0.376 -2.408 2.463
-6.213 0.176 1.120
! Crystal system = trigonal

=====

--- iv ---
! TeAsW GGA-PBE relaxed; values from VASP
&SYSTEM
  ibrav = 0, nat = 3, ntyp = 3
/
ATOMIC_SPECIES
Te 127.60 Te.upf
As 74.92 As.upf
W 183.84 W.upf
ATOMIC_POSITIONS angstrom
Te -2.766 2.391 0.984
As -0.431 0.372 0.153
W -6.203 5.360 2.207
CELL_PARAMETERS angstrom
-4.246 5.336 -0.147
-5.154 2.787 3.491
6.180 -2.850 -0.454
! Crystal system = tetragonal

=====

The least stable of them is i.

=====

--- i ---
! Y3Te2As GGA-PBE relaxed; values from VASP
&SYSTEM
  ibrav = 0, nat = 12, ntyp = 3
/
ATOMIC_SPECIES
Y 88.91 Y.upf
As 74.92 As.upf
Te 127.60 Te.upf
ATOMIC_POSITIONS angstrom
Y 6.639 5.203 3.442
Y 4.951 5.154 7.223
As 4.608 -0.334 7.167
Te 0.000 0.000 0.000
Te 2.511 3.320 6.204
Te 4.514 3.320 2.340
Y 2.534 5.321 3.859
As 2.290 -0.167 3.611
Y 2.389 1.437 1.239
Y 4.415 1.319 4.834
Te 6.855 3.153 5.854
Y 6.832 1.152 8.199
CELL_PARAMETERS angstrom
6.560 -0.334 3.401
2.469 6.974 1.280
0.337 -0.167 7.376
! Crystal system = monoclinic

=====

--- ii ---
! Y3Te2As GGA-PBE relaxed; values from VASP
&SYSTEM
  ibrav = 0, nat = 6, ntyp = 3
/
ATOMIC_SPECIES
Te 127.60 Te.upf
Y 88.91 Y.upf
As 74.92 As.upf
ATOMIC_POSITIONS angstrom
Te 4.150 3.954 -1.244
Y -1.350 2.676 2.302
As 1.465 2.852 1.974
Y 1.086 3.478 -0.949
Te -1.219 1.749 5.193
Y 4.280 3.027 1.647
CELL_PARAMETERS angstrom
-3.229 2.560 0.967
0.758 -1.252 5.847
5.402 4.395 -2.865
! Crystal system = orthorhombic

=====

The least stable of them is ii.

=====

--- i ---
! Zn2TeAs2 GGA-PBE relaxed; values from VASP
&SYSTEM
  ibrav = 0, nat = 5, ntyp = 3
/
ATOMIC_SPECIES
Zn 65.41 Zn.upf
As 74.92 As.upf
Te 127.60 Te.upf
ATOMIC_POSITIONS angstrom
Zn 1.405 -6.135 4.815
As -0.434 -4.553 3.175
As 2.184 -4.435 2.562
Te 0.000 0.000 0.000
Zn 0.345 -2.853 0.922
CELL_PARAMETERS angstrom
-2.590 -2.782 0.222
2.648 -2.545 -1.005
1.692 -3.661 6.519
! Crystal system = tetragonal

=====

--- ii ---
! Zn2TeAs2 GGA-PBE relaxed; values from VASP
&SYSTEM
  ibrav = 0, nat = 5, ntyp = 3
/
ATOMIC_SPECIES
Zn 65.41 Zn.upf
As 74.92 As.upf
Te 127.60 Te.upf
ATOMIC_POSITIONS angstrom
Zn 1.924 3.847 3.554
As 3.847 3.847 5.327
Zn 3.847 1.924 3.554
Te 0.000 0.000 0.000
As 1.924 1.924 1.781
CELL_PARAMETERS angstrom
3.847 0.000 0.000
0.000 3.847 0.000
1.924 1.924 7.108
! Crystal system = tetragonal

=====

The least stable of them is ii.

=====

--- i ---
! ZnTeAs GGA-PBE relaxed; values from VASP
&SYSTEM
  ibrav = 0, nat = 3, ntyp = 3
/
ATOMIC_SPECIES
Zn 65.41 Zn.upf
As 74.92 As.upf
Te 127.60 Te.upf
ATOMIC_POSITIONS angstrom
Zn 0.000 2.309 3.398
As 0.000 0.000 4.638
Te 2.000 1.155 1.728
CELL_PARAMETERS angstrom
4.000 0.000 0.000
-2.000 3.464 0.000
0.000 0.000 4.882
! Crystal system = trigonal

=====

--- ii ---
! ZnTeAs GGA-PBE relaxed; values from VASP
&SYSTEM
  ibrav = 0, nat = 3, ntyp = 3
/
ATOMIC_SPECIES
Zn 65.41 Zn.upf
Te 127.60 Te.upf
As 74.92 As.upf
ATOMIC_POSITIONS angstrom
Zn 0.000 1.882 5.432
Te 1.629 0.941 3.192
As 0.000 0.000 7.287
CELL_PARAMETERS angstrom
3.259 0.000 0.000
-1.629 2.822 0.000
0.000 0.000 7.955
! Crystal system = trigonal

=====

--- iii ---
! ZnTeAs GGA-PBE relaxed; values from VASP
&SYSTEM
  ibrav = 0, nat = 3, ntyp = 3
/
ATOMIC_SPECIES
Zn 65.41 Zn.upf
Te 127.60 Te.upf
As 74.92 As.upf
ATOMIC_POSITIONS angstrom
Zn 8.670 1.510 1.308
Te 4.718 0.366 2.230
As 1.241 -0.640 3.041
CELL_PARAMETERS angstrom
6.846 -0.252 0.203
5.909 2.944 0.152
0.937 -0.728 3.112
! Crystal system = orthorhombic

=====

The least stable of them is iii.